# 1
Compound: DyThCd17
Source: the Alexandria database
Functional: GGA-PBE
Structure: optimized geometry

## Properties
formation enthalpy at 0 K = -0.084 eV per atom

a b c (Å): 10.0862 10.0862 14.9544
angles (deg): 90.00 90.00 120.00
Space group R3m (No. 160, hexagonal axes)
Unique sites:
Dy: 0.0000 0.0000 0.0000
Th: 0.0000 0.0000 0.6611
Cd: 0.0000 0.0000 0.2385
Cd: 0.0000 0.0000 0.4335
Cd: 0.0003 0.3055 0.3319
Cd: 0.0211 0.5106 0.1846
Cd: 0.0311 0.5155 0.8264
Cd: 0.0561 0.5281 0.4871

***

# 2
Compound: Cu3Te2S2
Source: the Alexandria database
Functional: GGA-PBE
Structure: optimized geometry

## Properties
uncorrected formation energy = -1.88 kcal/mol of atoms

a b c (Å): 11.9152 3.9013 6.9888
angles (deg): 90.00 116.41 90.00
Space group C2/m (No. 12)
Unique sites:
Cu: 0.0000 0.0000 0.0000
Cu: 0.1760 0.5000 0.5347
Te: 0.1503 0.5000 0.8911
S: 0.1056 0.0000 0.3506

***

Number 1: mass density 8.717 g cm⁻³, total DFT energy (no corrections) -1.54 eV per atom, DOS(E_F) 0.275 states/eV per atom. Number 2: mass density 5.821 g cm⁻³, total DFT energy (no corrections) -3.91 eV per atom, DOS(E_F) 0.657 states/eV per atom.